Here is a relaxed MgHg2Se crystal from Alexandria. Energies are from PBEsol.

POSCAR file:
```
MgHg2Se
1.0
2.6568 -4.2370 0.0000
2.6568 4.2370 0.0000
0.0000 0.0000 4.1503
Mg Hg Se
1 2 1
direct
0.0000 0.0000 0.0000 Mg
0.0000 0.5000 0.5000 Hg
0.5000 0.0000 0.5000 Hg
0.5000 0.5000 0.0000 Se
```

Summary:
V	23.4	Å³ per atom
mass density	8.96	Mg/m³
uncorrected formation energy	-0.2271	eV per atom
symmetry	Cmmm (65)
energy	-1.9024	eV/atom
magnetization	0.000	μB per atom